Record 1
VASP calculation (GGA-PBE) on crystalline Tm4Te3Pb at its relaxed geometry.

Cell: 7.5062 7.5062 4.3530 Å, 90.00 90.00 109.63°
Closest atoms and distances in Å follow each position.
Element x y z (fractional)
Tm (0.2420, 0.2420, 0.5000)  2 Pb 3.02, 4 Te 3.07-3.12
Tm (0.2454, 0.7546, 0.0000)  1 Pb 3.01, 5 Te 3.07-3.12
Tm (0.7546, 0.2454, 0.0000)  1 Pb 3.01, 5 Te 3.07-3.12
Tm (0.7580, 0.7580, 0.5000)  2 Pb 3.02, 4 Te 3.07-3.12
Te (0.0000, 0.5000, 0.5000)  6 Tm 3.07
Te (0.5000, 0.0000, 0.5000)  6 Tm 3.07
Te (0.5000, 0.5000, 0.0000)  6 Tm 3.12
Pb (0.0000, 0.0000, 0.0000)  6 Tm 3.01-3.02

Summary:
Space group   No. 65



Record 2
VASP calculation (GGA-PBE) on crystalline Tm6Te3Pb at its relaxed geometry.

Cell: 12.1262 4.0147 12.4689 Å, 90.00 104.33 90.00°
Closest atoms and distances in Å follow each position.
Element x y z (fractional)
Tm (0.0111, 0.2500, 0.3515)  4 Te 3.09-3.20, 2 Tm 3.46
Tm (0.0810, 0.2500, 0.8793)  4 Te 2.99-3.14
Tm (0.2467, 0.7500, 0.2968)  3 Te 3.02-3.05, 2 Pb 3.17
Tm (0.2869, 0.7500, 0.7636)  3 Te 3.10-3.11
Tm (0.3740, 0.2500, 0.5407)  3 Pb 3.13-3.17, 2 Te 3.14
Tm (0.4586, 0.7500, 0.1255)  3 Te 2.95-3.01, 2 Pb 3.12
Tm (0.5414, 0.2500, 0.8745)  3 Te 2.95-3.01, 2 Pb 3.12
Tm (0.6260, 0.7500, 0.4593)  3 Pb 3.13-3.17, 2 Te 3.14
Tm (0.7131, 0.2500, 0.2364)  3 Te 3.10-3.11
Tm (0.7533, 0.2500, 0.7032)  3 Te 3.02-3.05, 2 Pb 3.17
Tm (0.9190, 0.7500, 0.1207)  4 Te 2.99-3.14
Tm (0.9889, 0.7500, 0.6485)  4 Te 3.09-3.20, 2 Tm 3.46
Te (0.1100, 0.2500, 0.1365)  6 Tm 3.02-3.20
Te (0.1700, 0.7500, 0.5120)  7 Tm 3.05-3.14
Te (0.3345, 0.2500, 0.9590)  6 Tm 2.95-3.10
Te (0.6655, 0.7500, 0.0410)  6 Tm 2.95-3.10
Te (0.8300, 0.2500, 0.4880)  7 Tm 3.05-3.14
Te (0.8900, 0.7500, 0.8635)  6 Tm 3.02-3.20
Pb (0.4527, 0.2500, 0.3160)  7 Tm 3.12-3.17
Pb (0.5473, 0.7500, 0.6840)  7 Tm 3.12-3.17

Summary:
Space group   No. 11



Record 3
VASP calculation (GGA-PBE) on crystalline Tm10Te3Pb3 at its relaxed geometry.

Cell: 8.9515 8.9515 6.2467 Å, 90.00 90.00 120.00°
Closest atoms and distances in Å follow each position.
Element x y z (fractional)
Tm (0.0000, 0.2452, 0.0000)  3 Te 3.03-3.30, 2 Pb 3.39
Tm (0.0000, 0.7586, 0.5000)  3 Pb 3.07-3.28, 2 Te 3.38
Tm (0.2414, 0.2414, 0.5000)  3 Pb 3.07-3.28, 2 Te 3.38
Tm (0.2452, 0.0000, 0.0000)  3 Te 3.03-3.30, 2 Pb 3.39
Tm (0.3333, 0.6667, 0.2490)  2 Tm 3.11-3.14, 3 Pb 3.17, 3 Te 3.18
Tm (0.3333, 0.6667, 0.7510)  2 Tm 3.11-3.14, 3 Pb 3.17, 3 Te 3.18
Tm (0.6667, 0.3333, 0.2490)  2 Tm 3.11-3.14, 3 Pb 3.17, 3 Te 3.18
Tm (0.6667, 0.3333, 0.7510)  2 Tm 3.11-3.14, 3 Pb 3.17, 3 Te 3.18
Tm (0.7548, 0.7548, 0.0000)  3 Te 3.03-3.30, 2 Pb 3.39
Tm (0.7586, 0.0000, 0.5000)  3 Pb 3.07-3.28, 2 Te 3.38
Te (0.0000, 0.6143, 0.0000)  9 Tm 3.03-3.38
Te (0.3857, 0.3857, 0.0000)  9 Tm 3.03-3.38
Te (0.6143, 0.0000, 0.0000)  9 Tm 3.03-3.38
Pb (0.0000, 0.3920, 0.5000)  9 Tm 3.07-3.39
Pb (0.3920, 0.0000, 0.5000)  9 Tm 3.07-3.39
Pb (0.6080, 0.6080, 0.5000)  9 Tm 3.07-3.39

Summary:
Space group   No. 189



Record 4
VASP calculation (GGA-PBE) on crystalline Tm6TePb3 at its relaxed geometry.

Cell: 11.9079 3.6941 13.4063 Å, 90.00 98.74 90.00°
Closest atoms and distances in Å follow each position.
Element x y z (fractional)
Tm (0.0241, 0.2500, 0.3429)  3 Pb 3.14-3.27, 3 Tm 3.45-3.51
Tm (0.0625, 0.2500, 0.8829)  4 Pb 3.16-3.35
Tm (0.2627, 0.7500, 0.7488)  3 Pb 3.10-3.11, 1 Te 3.31, 1 Tm 3.45
Tm (0.2695, 0.7500, 0.3192)  2 Te 3.10, 3 Pb 3.12-3.23
Tm (0.3906, 0.2500, 0.5335)  3 Te 3.09-3.35, 2 Pb 3.22, 2 Tm 3.42
Tm (0.4233, 0.7500, 0.1164)  3 Pb 3.11-3.13, 2 Te 3.13
Tm (0.5767, 0.2500, 0.8836)  3 Pb 3.11-3.13, 2 Te 3.13
Tm (0.6094, 0.7500, 0.4665)  3 Te 3.09-3.35, 2 Pb 3.22, 2 Tm 3.42
Tm (0.7305, 0.2500, 0.6808)  2 Te 3.10, 3 Pb 3.12-3.23
Tm (0.7373, 0.2500, 0.2512)  3 Pb 3.10-3.11, 1 Te 3.31, 1 Tm 3.45
Tm (0.9375, 0.7500, 0.1171)  4 Pb 3.16-3.35
Tm (0.9759, 0.7500, 0.6571)  3 Pb 3.14-3.27, 3 Tm 3.45-3.51
Te (0.4754, 0.2500, 0.3063)  8 Tm 3.09-3.35
Te (0.5246, 0.7500, 0.6937)  8 Tm 3.09-3.35
Pb (0.1671, 0.2500, 0.1290)  8 Tm 3.23-3.59, 1 Pb 3.49
Pb (0.1668, 0.7500, 0.5197)  7 Tm 3.11-3.27
Pb (0.3304, 0.2500, 0.9338)  6 Tm 3.10-3.16
Pb (0.6696, 0.7500, 0.0662)  6 Tm 3.10-3.16
Pb (0.8332, 0.2500, 0.4803)  7 Tm 3.11-3.27
Pb (0.8329, 0.7500, 0.8710)  8 Tm 3.23-3.59, 1 Pb 3.49

Summary:
Space group   No. 11



Respective volume values: 28.88 29.41 27.09 29.14 Å³ per atom.
Respective formation energy from raw total energies values: -8.31 -7.60 -10.76 -4.16 eV/f.u..